No. 1
First-principles (PBE-GGA) data for crystalline UMnGaMo at its relaxed geometry, as listed in the Alexandria database.

Cell lengths 6.3969, 6.3969, 6.3969 Å; angles 90.00, 90.00, 90.00 degrees
With the nearest neighbours (Å) after each atom.
Space group F-43m (No. 216)
Unique sites:
U  0.0000  0.0000  0.0000 [4 per cell]  4 Mo 2.77, 4 Mn 2.77
Mn  0.2500  0.2500  0.7500 [4 per cell]  4 U 2.77, 4 Ga 2.77
Ga  0.0000  0.0000  0.5000 [4 per cell]  4 Mn 2.77, 4 Mo 2.77
Mo  0.2500  0.2500  0.2500 [4 per cell]  4 U 2.77, 4 Ga 2.77

Properties
Energy of formation from the pure elements, eV per atom: 0.09
Total magnetic moment, μB/f.u.: 1.352


No. 2
First-principles (PBE-GGA) data for crystalline HfFe2AgP at its relaxed geometry, as listed in the Alexandria database.

Cell lengths 4.5281, 4.5281, 5.2024 Å; angles 90.00, 90.00, 90.00 degrees
With the nearest neighbours (Å) after each atom.
Space group P4/mmm (No. 123)
Unique sites:
Hf  0.0000  0.0000  0.0000 [1 per cell]  4 Fe 2.26
Fe  0.0000  0.5000  0.0000 [2 per cell]  2 Hf 2.26
Ag  0.0000  0.0000  0.5000 [1 per cell]  2 Hf 2.60
P  0.5000  0.5000  0.5000 [1 per cell]  4 Ag 3.20, 8 Fe 3.45

Properties
Energy of formation from the pure elements, eV per atom: 1.64
Total magnetic moment, μB/f.u.: 3.606


No. 3
First-principles (PBE-GGA) data for crystalline La3MgO at its relaxed geometry, as listed in the Alexandria database.

Cell lengths 4.6976, 4.6976, 9.3113 Å; angles 90.00, 90.00, 90.00 degrees
With the nearest neighbours (Å) after each atom.
Space group P4mm (No. 99)
Unique sites:
La  0.0000  0.0000  0.0000 [1 per cell]  1 Mg 3.46
La  0.0000  0.5000  0.6659 [2 per cell]  2 O 2.39
Mg  0.0000  0.0000  0.3717 [1 per cell]  5 La 3.46-3.61
O  0.5000  0.5000  0.6164 [1 per cell]  4 La 2.39

Properties
Total magnetic moment, μB/f.u.: 1.165
Energy above the lowest structure with this stoichiometry, meV per atom: 735


No. 4
First-principles (PBE-GGA) data for crystalline AcPuSO2 at its relaxed geometry, as listed in the Alexandria database.

Cell lengths 3.9603, 3.9603, 12.6304 Å; angles 90.00, 90.00, 90.00 degrees
With the nearest neighbours (Å) after each atom.
Space group I4mm (No. 107)
Unique sites:
Ac  0.0000  0.0000  0.0000 [2 per cell]  4 O 2.46
Pu  0.0000  0.0000  0.7069 [2 per cell]  4 O 2.29
S  0.0000  0.0000  0.3599 [2 per cell]  4 Ac 3.31, 4 Pu 3.40, 4 O 3.66
O  0.0000  0.5000  0.1159 [4 per cell]  2 Pu 2.29, 2 Ac 2.46

Properties
Total magnetic moment, μB/f.u.: 5.000


No. 5
First-principles (PBE-GGA) data for crystalline In2PdI at its relaxed geometry, as listed in the Alexandria database.

Cell lengths 6.5778, 6.5778, 14.1084 Å; angles 90.00, 90.00, 90.00 degrees
With the nearest neighbours (Å) after each atom.
Space group I-42d (No. 122)
Unique sites:
In  0.1543  0.2500  0.1250 [8 per cell]  2 Pd 2.62
Pd  0.0000  0.0000  0.0000 [4 per cell]  4 In 2.62
I  0.0000  0.0000  0.5000 [4 per cell]  4 In 3.31

Properties
Total magnetic moment, μB/f.u.: 0.000
Energy above the lowest structure with this stoichiometry, meV per atom: 0


No. 6
First-principles (PBE-GGA) data for crystalline Ta2Nb5Tc at its relaxed geometry, as listed in the Alexandria database.

Cell lengths 6.5825, 13.1865, 3.2600 Å; angles 90.00, 90.00, 90.00 degrees
With the nearest neighbours (Å) after each atom.
Space group Pbam (No. 55)
Unique sites:
Ta  0.2355  0.1206  0.0000 [4 per cell]  2 Tc 2.76, 6 Nb 2.87-2.89
Nb  0.0000  0.5000  0.5000 [2 per cell]  4 Nb 2.82, 4 Ta 2.87
Nb  0.0107  0.7493  0.5000 [4 per cell]  4 Nb 2.83-2.88, 4 Ta 2.87-2.89
Nb  0.2481  0.3765  0.0000 [4 per cell]  6 Nb 2.82-2.88, 2 Tc 2.84
Tc  0.0000  0.0000  0.5000 [2 per cell]  4 Ta 2.76, 4 Nb 2.84

Properties
Energy of formation from the pure elements, eV per atom: -0.13
Total magnetic moment, μB/f.u.: 0.000
Energy above the lowest structure with this stoichiometry, meV per atom: 0


no.,DFT total energy (eV per atom)
1,-8.49
2,-5.39
3,-4.74
4,-9.22
5,-3.19
6,-10.68